(1)
Here is a crystal of SiRuBr relaxed with PBEsol from Alexandria via LeMat-Bulk. Energies are from meta-GGA SCAN.

## Properties
The calculation puts the volume at 16.7 Å³/atom. The value obtained for the offset from the most stable computed form is 0.0 kJ/mol of atoms. Its energy relative to the elements, uncorrected is 0.188 eV/atom.

a b c (Å): 3.2117 3.2117 5.6096
angles (deg): 90.00 90.00 120.00
Space group P3m1 (No. 156)
Unique sites:
Si: 0.0000 0.0000 0.0000 x1
Ru: 0.6667 0.3333 0.2471 x1
Br: 0.3333 0.6667 0.6312 x1

=====

(2)
Here is a crystal of TlReP2 relaxed with PBEsol from Alexandria via LeMat-Bulk. Energies are from meta-GGA SCAN.

## Properties
The calculation puts the volume at 18.4 Å³/atom. The value obtained for the offset from the most stable computed form is 9.7 kJ/mol of atoms. The formation energy comes out at 303 meV/atom.

a b c (Å): 3.980 3.119 6.235
angles (deg): 90.00 108.20 90.00
Space group Pm (No. 6)
Unique sites:
Tl: 0.000 0.000 0.000 x1
Re: 0.375 0.500 0.738 x1
P: 0.377 0.000 0.448 x1
P: 0.795 0.500 0.515 x1

=====

(3)
Here is a crystal of YRe3N relaxed with PBEsol from Alexandria via LeMat-Bulk. Energies are from meta-GGA SCAN.

## Properties
The calculation puts the volume at 14.5 Å³/atom. Its energy relative to the elements, uncorrected is 0.287 eV/atom.

a b c (Å): 4.170 4.170 4.170
angles (deg): 90.00 90.00 90.00
Space group Pm-3m (No. 221)
Unique sites:
Y: 0.000 0.000 0.000 x1
Re: 0.000 0.500 0.500 x3
N: 0.500 0.500 0.500 x1

=====

| no. | uncorrected energy (eV/atom) |
| --- | --- |
| 1 | -21.246 |
| 2 | -40.760 |
| 3 | -49.799 |